Record 1
DFT (PBE-GGA) results for NdPd4Au5 after structural relaxation.

a = 13.0782 Å, b = 4.6201 Å, c = 7.5161 Å
α = 90.00°, β = 122.53°, γ = 90.00°
Closest atoms and distances in Å follow each position.
Space group C2/m (No. 12)
Asymmetric unit:
Nd1 0.0000 0.0000 0.0000 (multiplicity 2)  6 Pd 2.95-2.96, 4 Au 3.19
Pd1 0.0427 0.5000 0.2765 (multiplicity 4)  4 Au 2.73-2.90, 3 Pd 2.85-2.94, 2 Nd 2.95
Pd2 0.1910 0.0000 0.4562 (multiplicity 4)  5 Pd 2.66-2.94, 3 Au 2.69-2.84, 1 Nd 2.96
Au1 0.0000 0.0000 0.5000 (multiplicity 2)  2 Pd 2.69, 4 Au 2.96
Au2 0.1632 0.5000 0.7062 (multiplicity 4)  3 Pd 2.73-2.77, 5 Au 2.76-2.96
Au3 0.1914 0.5000 0.0980 (multiplicity 4)  3 Au 2.76-2.85, 3 Pd 2.83-2.90

DOS at the Fermi energy (states/eV/cell): 6.717
VASP energy (eV per atom): -4.47

Record 2
DFT (PBE-GGA) results for Nd3Pd2Au5 after structural relaxation.

a = 14.1606 Å, b = 8.7904 Å, c = 8.6613 Å
α = 90.00°, β = 124.48°, γ = 90.00°
Closest atoms and distances in Å follow each position.
Space group C2/c (No. 15)
Asymmetric unit:
Nd1 0.0000 0.1406 0.2500 (multiplicity 4)  4 Pd 2.87-2.95, 3 Au 2.97-3.07
Nd2 0.1383 0.2578 0.7350 (multiplicity 8)  5 Au 3.07-3.38, 2 Pd 3.15-3.28
Pd1 0.1146 0.0659 0.0617 (multiplicity 8)  3 Au 2.75-3.06, 2 Nd 2.87-2.95, 1 Pd 3.02
Au1 0.0000 0.4784 0.2500 (multiplicity 4)  6 Au 2.80-2.88, 3 Nd 2.97-3.08
Au2 0.1232 0.3774 0.1000 (multiplicity 8)  1 Pd 2.75, 4 Au 2.80-2.97, 1 Nd 3.07
Au3 0.2399 0.4121 0.5106 (multiplicity 8)  2 Pd 2.81-3.06, 4 Au 2.86-2.97, 1 Nd 3.07

DOS at the Fermi energy (states/eV/cell): 21.259
VASP energy (eV per atom): -4.76

Record 3
DFT (PBE-GGA) results for Nd5Pd5Au2 after structural relaxation.

a = 15.8464 Å, b = 4.1993 Å, c = 11.1207 Å
α = 90.00°, β = 128.98°, γ = 90.00°
Closest atoms and distances in Å follow each position.
Space group C2/m (No. 12)
Asymmetric unit:
Nd1 0.0000 0.0000 0.0000 (multiplicity 2)  4 Au 3.09, 4 Pd 3.36
Nd2 0.0966 0.0000 0.4181 (multiplicity 4)  6 Pd 2.98-3.24, 2 Au 3.08
Nd3 0.2052 0.0000 0.8299 (multiplicity 4)  5 Pd 2.95-3.03, 1 Au 3.19
Pd1 0.0000 0.5000 0.5000 (multiplicity 2)  2 Pd 2.78, 4 Nd 3.06
Pd2 0.0766 0.5000 0.8482 (multiplicity 4)  1 Au 2.81, 3 Nd 3.02-3.03
Pd3 0.2227 0.5000 0.6600 (multiplicity 4)  2 Au 2.75, 1 Pd 2.78, 4 Nd 2.95-2.98
Au1 0.1381 0.5000 0.2584 (multiplicity 4)  3 Pd 2.75-2.81, 2 Nd 3.08

DOS at the Fermi energy (states/eV/cell): 13.596
VASP energy (eV per atom): -5.46

Record 4
DFT (PBE-GGA) results for Nd2Pd9Au after structural relaxation.

a = 4.1477 Å, b = 4.1477 Å, c = 12.3788 Å
α = 90.00°, β = 90.00°, γ = 90.00°
Closest atoms and distances in Å follow each position.
Space group P4/mmm (No. 123)
Asymmetric unit:
Nd1 0.0000 0.0000 0.1734 (multiplicity 2)  12 Pd 2.93-2.98
Pd1 0.0000 0.5000 0.0000 (multiplicity 2)  8 Pd 2.93-2.96, 4 Nd 2.98
Pd2 0.0000 0.5000 0.3431 (multiplicity 4)  8 Pd 2.84-2.98, 2 Au 2.84, 2 Nd 2.95
Pd3 0.5000 0.5000 0.1704 (multiplicity 2)  4 Nd 2.93, 8 Pd 2.96-2.98
Pd4 0.5000 0.5000 0.5000 (multiplicity 1)  8 Pd 2.84, 4 Au 2.93
Au1 0.0000 0.0000 0.5000 (multiplicity 1)  12 Pd 2.84-2.93

DOS at the Fermi energy (states/eV/cell): 12.223
VASP energy (eV per atom): -5.47

Copy entry 2 word for word.
DFT (PBE-GGA) results for Nd3Pd2Au5 after structural relaxation.

a = 14.1606 Å, b = 8.7904 Å, c = 8.6613 Å
α = 90.00°, β = 124.48°, γ = 90.00°
Closest atoms and distances in Å follow each position.
Space group C2/c (No. 15)
Asymmetric unit:
Nd1 0.0000 0.1406 0.2500 (multiplicity 4)  4 Pd 2.87-2.95, 3 Au 2.97-3.07
Nd2 0.1383 0.2578 0.7350 (multiplicity 8)  5 Au 3.07-3.38, 2 Pd 3.15-3.28
Pd1 0.1146 0.0659 0.0617 (multiplicity 8)  3 Au 2.75-3.06, 2 Nd 2.87-2.95, 1 Pd 3.02
Au1 0.0000 0.4784 0.2500 (multiplicity 4)  6 Au 2.80-2.88, 3 Nd 2.97-3.08
Au2 0.1232 0.3774 0.1000 (multiplicity 8)  1 Pd 2.75, 4 Au 2.80-2.97, 1 Nd 3.07
Au3 0.2399 0.4121 0.5106 (multiplicity 8)  2 Pd 2.81-3.06, 4 Au 2.86-2.97, 1 Nd 3.07

DOS at the Fermi energy (states/eV/cell): 21.259
VASP energy (eV per atom): -4.76

Which value of DOS at the Fermi energy does entry 4 give? 12.223 states/eV/cell

Number 1 is which compound? NdPd4Au5